1.
LiCa2CrN4: relaxed, PBE-GGA.

## Properties
**Calculated volume**: 219 Å³/cell
**Total magnetic moment**: 0.90 μB/f.u.
**Space group**: Pmn2_1 (31)
**E_form (uncorrected)**: -0.69 eV/atom

Structure (POSCAR):
```
LiCa2CrN4
1.0
7.044 0.000 0.000
0.000 5.619 0.000
0.000 0.000 5.522
Li Ca Cr N
2 4 2 8
Direct
0.000 0.238 0.000
0.500 0.762 0.500
0.246 0.783 0.015
0.254 0.217 0.515
0.746 0.217 0.515
0.754 0.783 0.015
0.000 0.788 0.495
0.500 0.212 0.995
0.000 0.966 0.755
0.000 0.997 0.263
0.212 0.630 0.474
0.288 0.370 0.974
0.500 0.003 0.763
0.500 0.034 0.255
0.712 0.370 0.974
0.788 0.630 0.474
```

***

2.
ErGaTeO6: relaxed, PBE-GGA.

## Properties
**Calculated volume**: 224 Å³/cell
**Total magnetic moment**: 0.00 μB/f.u.
**Space group**: P-31c (163)
**E_form (uncorrected)**: -2.04 eV/atom

Structure (POSCAR):
```
ErGaTeO6
1.0
5.153 0.000 0.000
-2.576 4.462 0.000
0.000 0.000 9.749
Er Ga Te O
2 2 2 12
Direct
0.000 0.000 0.000
0.000 0.000 0.500
0.333 0.667 0.250
0.667 0.333 0.750
0.333 0.667 0.750
0.667 0.333 0.250
0.009 0.364 0.638
0.009 0.645 0.862
0.355 0.364 0.862
0.355 0.991 0.638
0.364 0.009 0.138
0.364 0.355 0.362
0.636 0.645 0.638
0.636 0.991 0.862
0.645 0.009 0.362
0.645 0.636 0.138
0.991 0.355 0.138
0.991 0.636 0.362
```

***

3.
Tb2Nd3TmSe6: relaxed, PBE-GGA.

## Properties
**Calculated volume**: 303 Å³/cell
**Total magnetic moment**: 0.00 μB/f.u.
**Space group**: C2/m (12)
**E_form (uncorrected)**: -1.79 eV/atom

Structure (POSCAR):
```
Tb2Nd3TmSe6
1.0
3.554 -6.188 0.000
3.554 6.188 0.000
-2.383 0.000 6.895
Tb Nd Tm Se
2 3 1 6
Direct
0.167 0.833 0.000
0.833 0.167 0.000
0.000 0.000 0.500
0.330 0.670 0.500
0.670 0.330 0.500
0.500 0.500 0.000
0.094 0.422 0.766
0.251 0.251 0.237
0.422 0.094 0.766
0.578 0.906 0.234
0.749 0.749 0.763
0.906 0.578 0.234
```

***

- What is the total magnetic moment in the second record?
  0.00 μB/f.u.

***

- Among the records above, which one has the lowest calculated volume?
  LiCa2CrN4